A plane-wave DFT calculation with PBE was carried out for a relaxed Ti3TcIr2 crystal.

Summary:
electronic total energy = -56.54 eV per cell
DOS at the Fermi energy = 0.651 states/eV per atom
size of the total moment = 0.00 Bohr magnetons per cell
SG = P4/mmm (123)
ΔE_f = -4.77 eV/f.u.

a b c (Å): 3.134 3.134 9.181
angles (deg): 90.00 90.00 90.00
Sites, in units of the cell vectors:
Ti (0.000, 0.000, 0.000)
Ti (0.000, 0.000, 0.339)
Ti (0.000, 0.000, 0.661)
Tc (0.500, 0.500, 0.500)
Ir (0.500, 0.500, 0.164)
Ir (0.500, 0.500, 0.836)

A plane-wave DFT calculation with PBE was carried out for a relaxed TiTc3Ir crystal.

Summary:
electronic total energy = -40.17 eV per cell
DOS at the Fermi energy = 1.385 states/eV per atom
size of the total moment = 0.01 Bohr magnetons per cell
ΔE to the lowest computed polymorph = 0.48 eV per formula unit
SG = Pm-3m (221)
ΔE_f = 7.68 eV/f.u.

a b c (Å): 4.662 4.662 4.662
angles (deg): 90.00 90.00 90.00
Sites, in units of the cell vectors:
Tc (0.500, 0.000, 0.000)
Tc (0.000, 0.000, 0.500)
Tc (0.000, 0.500, 0.000)
Ti (0.500, 0.500, 0.500)
Ir (0.000, 0.000, 0.000)

A plane-wave DFT calculation with PBE was carried out for a relaxed Ti6TcIr5 crystal.

Summary:
electronic total energy = -111.82 eV per cell
DOS at the Fermi energy = 0.888 states/eV per atom
size of the total moment = 0.00 Bohr magnetons per cell
SG = Immm (71)
ΔE_f = -9.78 eV/f.u.

a b c (Å): 4.262 6.618 7.510
angles (deg): 116.15 106.47 90.00
Sites, in units of the cell vectors:
Ir (0.328, 0.828, 0.656)
Ir (0.337, 0.337, 0.675)
Ir (0.000, 0.500, 0.000)
Ir (0.663, 0.663, 0.325)
Ir (0.672, 0.172, 0.344)
Ti (0.500, 0.758, 0.000)
Ti (0.500, 0.242, 0.000)
Ti (0.834, 0.589, 0.669)
Ti (0.166, 0.920, 0.331)
Ti (0.834, 0.080, 0.669)
Ti (0.166, 0.411, 0.331)
Tc (0.000, 0.000, 0.000)

A plane-wave DFT calculation with PBE was carried out for a relaxed Ti4Tc2Ir crystal.

Summary:
electronic total energy = -64.21 eV per cell
DOS at the Fermi energy = 0.827 states/eV per atom
size of the total moment = 0.00 Bohr magnetons per cell
SG = I4/mmm (139)
ΔE_f = -3.04 eV/f.u.

a b c (Å): 5.319 5.319 5.319
angles (deg): 108.21 110.10 110.10
Sites, in units of the cell vectors:
Tc (0.500, 0.500, 0.000)
Tc (0.500, 0.000, 0.500)
Ti (0.500, 0.500, 0.500)
Ti (0.000, 0.500, 0.000)
Ti (0.000, 0.000, 0.500)
Ti (0.500, 0.000, 0.000)
Ir (0.000, 0.000, 0.000)

A plane-wave DFT calculation with PBE was carried out for a relaxed Ti4TcIr2 crystal.

Summary:
electronic total energy = -58.02 eV per cell
DOS at the Fermi energy = 1.159 states/eV per atom
size of the total moment = 0.00 Bohr magnetons per cell
ΔE to the lowest computed polymorph = 5.74 eV per formula unit
SG = I4/mmm (139)
ΔE_f = 1.65 eV/f.u.

a b c (Å): 4.535 4.535 7.152
angles (deg): 71.52 71.52 90.00
Sites, in units of the cell vectors:
Ti (0.805, 0.805, 0.390)
Ti (0.500, 0.000, 0.000)
Ti (0.000, 0.500, 0.000)
Ti (0.195, 0.195, 0.610)
Ir (0.382, 0.382, 0.237)
Ir (0.618, 0.618, 0.763)
Tc (0.000, 0.000, 0.000)

A plane-wave DFT calculation with PBE was carried out for a relaxed TiTcIr2 crystal.

Summary:
electronic total energy = -70.85 eV per cell
DOS at the Fermi energy = 1.008 states/eV per atom
size of the total moment = 0.00 Bohr magnetons per cell
ΔE to the lowest computed polymorph = 2.62 eV per formula unit
SG = I-42d (122)
ΔE_f = 0.56 eV/f.u.

a b c (Å): 3.821 3.821 9.258
angles (deg): 78.09 78.09 90.00
Sites, in units of the cell vectors:
Ir (0.375, 0.375, 0.750)
Ir (0.875, 0.875, 0.750)
Ir (0.125, 0.625, 0.250)
Ir (0.625, 0.125, 0.250)
Tc (0.750, 0.250, 0.500)
Tc (0.000, 0.000, 0.000)
Ti (0.500, 0.500, 0.000)
Ti (0.250, 0.750, 0.500)